Density functional theory data (PBE) for a geometry-optimized AlPdBr2 structure.

Summary:
- excess energy over the best structure of this formula in the dataset (meV per atom) = 27
- uncorrected energy (eV per atom) = -3.06
- energy relative to the elements, uncorrected (eV per formula unit) = 0.05
- crystal system = trigonal
- calculated density (g/cm3) = 4.821

Cell lengths 8.825, 8.825, 8.825 Å; angles 24.13, 24.13, 24.13 degrees
Fractional positions:
Br1 0.904 0.904 0.904
Br2 0.096 0.096 0.096
Pd1 0.000 0.000 0.000
Al1 0.500 0.500 0.500

=====

Density functional theory data (PBE) for a geometry-optimized Cs2MgCI6 structure.

Summary:
- uncorrected energy (eV per atom) = -2.56
- energy relative to the elements, uncorrected (eV per formula unit) = -3.75
- crystal system = tetragonal
- calculated density (g/cm3) = 4.720

Cell lengths 8.092, 8.092, 8.086 Å; angles 59.98, 59.98, 90.00 degrees
Fractional positions:
Cs1 0.750 0.250 0.500
Cs2 0.250 0.750 0.500
I1 0.261 0.261 0.478
I2 0.739 0.739 0.522
I3 0.261 0.261 0.000
I4 0.739 0.739 0.000
I5 0.739 0.261 0.000
I6 0.261 0.739 0.000
Mg1 0.000 0.000 0.000
C1 0.500 0.500 0.000

=====

Density functional theory data (PBE) for a geometry-optimized Rb2TbInS4 structure.

Summary:
- uncorrected energy (eV per atom) = -4.48
- energy relative to the elements, uncorrected (eV per formula unit) = -10.07
- crystal system = orthorhombic
- calculated density (g/cm3) = 4.420

Cell lengths 8.492, 8.492, 8.479 Å; angles 119.94, 119.94, 90.69 degrees
Fractional positions:
Rb1 0.500 0.000 0.000
Rb2 0.500 0.000 0.500
Rb3 0.000 0.000 0.500
Rb4 0.500 0.500 0.000
Tb1 0.000 0.500 0.000
Tb2 0.000 0.500 0.500
In1 0.500 0.500 0.500
In2 0.000 0.000 0.000
S1 0.198 0.733 0.966
S2 0.767 0.302 0.534
S3 0.233 0.698 0.466
S4 0.802 0.267 0.034
S5 0.766 0.734 0.958
S6 0.766 0.734 0.542
S7 0.234 0.266 0.458
S8 0.234 0.266 0.042

=====

Density functional theory data (PBE) for a geometry-optimized TaCuSi2 structure.

Summary:
- uncorrected energy (eV per atom) = -6.84
- energy relative to the elements, uncorrected (eV per formula unit) = -0.58
- crystal system = tetragonal
- calculated density (g/cm3) = 8.894

Cell lengths 4.795, 4.795, 3.746 Å; angles 67.09, 67.09, 46.01 degrees
Fractional positions:
Cu1 0.250 0.250 0.250
Si1 0.000 0.000 0.000
Si2 0.500 0.500 0.500
Ta1 0.750 0.750 0.750

=====

Density functional theory data (PBE) for a geometry-optimized K2LaZn2S4 structure.

Summary:
- uncorrected energy (eV per atom) = -4.07
- energy relative to the elements, uncorrected (eV per formula unit) = -10.49
- crystal system = monoclinic
- calculated density (g/cm3) = 3.348

Cell lengths 4.247, 7.754, 7.963 Å; angles 110.07, 105.47, 90.00 degrees
Fractional positions:
K1 0.129 0.561 0.259
K2 0.871 0.439 0.741
La1 0.000 0.000 0.000
Zn1 0.677 0.994 0.354
Zn2 0.323 0.006 0.646
S1 0.206 0.165 0.412
S2 0.794 0.835 0.588
S3 0.526 0.763 0.052
S4 0.474 0.237 0.948

=====

Density functional theory data (PBE) for a geometry-optimized HfTaP2 structure.

Summary:
- excess energy over the best structure of this formula in the dataset (meV per atom) = 0
- uncorrected energy (eV per atom) = -9.10
- calculated formation energy (eV per atom) = -0.94
- crystal system = trigonal
- calculated density (g/cm3) = 10.269

Cell lengths 3.522, 3.522, 6.661 Å; angles 74.67, 74.67, 60.00 degrees
Fractional positions:
Hf1 0.669 0.669 0.992
Ta1 0.497 0.497 0.510
P1 0.086 0.086 0.741
P2 0.248 0.248 0.257

=====

Density functional theory data (PBE) for a geometry-optimized SrPAu structure.

Summary:
- uncorrected energy (eV per atom) = -4.37
- calculated formation energy (eV per atom) = -0.91
- crystal system = hexagonal
- calculated density (g/cm3) = 7.392

Cell lengths 4.382, 4.382, 8.524 Å; angles 90.00, 90.00, 120.00 degrees
Fractional positions:
Sr1 0.000 0.000 0.000
Sr2 0.000 0.000 0.500
Au1 0.667 0.333 0.250
Au2 0.333 0.667 0.750
P1 0.667 0.333 0.750
P2 0.333 0.667 0.250

=====

Density functional theory data (PBE) for a geometry-optimized Na2ScInAg structure.

Summary:
- uncorrected energy (eV per atom) = -2.13
- calculated formation energy (eV per atom) = 0.78
- crystal system = tetragonal
- calculated density (g/cm3) = 2.846

Cell lengths 5.979, 5.118, 5.979 Å; angles 90.00, 90.00, 90.00 degrees
Fractional positions:
Sc1 0.000 0.000 0.000
Na1 0.000 0.000 0.500
Na2 0.500 0.000 0.000
Ag1 0.000 0.500 0.000
In1 0.500 0.500 0.500